(1)
Compound: BaFeSe2
Source: Alexandria
Functional: PBE
Structure: optimized geometry

a b c (Å): 5.034 5.034 4.446
angles (deg): 90.00 90.00 90.00
Sites, in units of the cell vectors:
Ba1 0.000 0.000 0.000
Fe1 0.500 0.500 0.500
Se1 0.000 0.500 0.500
Se2 0.500 0.000 0.500

Properties
Symmetry   P4/mmm
ΔE to the lowest computed polymorph   0.0000 eV/atom
Uncorrected formation energy   -0.882 eV per atom
Density   5.17 g cm⁻³



(2)
Compound: BaFeSe2
Source: Alexandria
Functional: PBE
Structure: optimized geometry

a b c (Å): 8.214 8.214 8.214
angles (deg): 35.67 35.67 35.67
Sites, in units of the cell vectors:
Ba1 0.000 0.000 0.000
Fe1 0.500 0.500 0.500
Se1 0.401 0.401 0.401
Se2 0.599 0.599 0.599

Properties
Symmetry   R-3m
ΔE to the lowest computed polymorph   0.2119 eV/atom
Uncorrected formation energy   -0.670 eV per atom
Density   3.46 g cm⁻³



(3)
Compound: BaFeSe2
Source: Alexandria
Functional: PBE
Structure: optimized geometry

a b c (Å): 4.323 4.323 7.816
angles (deg): 90.00 90.00 123.22
Sites, in units of the cell vectors:
Ba1 0.000 0.000 0.000
Fe1 0.000 0.000 0.500
Se1 0.500 0.500 0.297
Se2 0.500 0.500 0.703

Properties
Symmetry   Cmmm
ΔE to the lowest computed polymorph   0.3734 eV/atom
Uncorrected formation energy   -0.508 eV per atom
Density   4.77 g cm⁻³



(4)
Compound: BaFe2Se4
Source: Alexandria
Functional: PBE
Structure: optimized geometry

a b c (Å): 6.225 6.225 6.225
angles (deg): 100.30 100.30 129.96
Sites, in units of the cell vectors:
Ba1 0.000 0.000 0.000
Fe1 0.250 0.750 0.500
Fe2 0.750 0.250 0.500
Se1 0.200 0.617 0.817
Se2 0.383 0.200 0.583
Se3 0.617 0.800 0.417
Se4 0.800 0.383 0.183

Properties
Symmetry   I4/m
Uncorrected formation energy   -0.706 eV per atom
Density   5.60 g cm⁻³



(5)
Compound: Ba2FeSe3
Source: Alexandria
Functional: PBE
Structure: optimized geometry

a b c (Å): 12.650 4.441 12.981
angles (deg): 90.00 90.00 90.00
Sites, in units of the cell vectors:
Ba1 0.010 0.250 0.177
Ba2 0.177 0.250 0.520
Ba3 0.323 0.750 0.020
Ba4 0.490 0.750 0.677
Ba5 0.510 0.250 0.323
Ba6 0.677 0.250 0.980
Ba7 0.823 0.750 0.480
Ba8 0.990 0.750 0.823
Fe1 0.244 0.750 0.302
Fe2 0.256 0.250 0.802
Fe3 0.744 0.750 0.198
Fe4 0.756 0.250 0.698
Se1 0.061 0.750 0.362
Se2 0.134 0.250 0.946
Se3 0.227 0.750 0.712
Se4 0.273 0.250 0.212
Se5 0.366 0.750 0.446
Se6 0.439 0.250 0.862
Se7 0.561 0.750 0.138
Se8 0.634 0.250 0.554
Se9 0.727 0.750 0.788
Se10 0.773 0.250 0.288
Se11 0.866 0.750 0.054
Se12 0.939 0.250 0.638

Properties
Symmetry   Pnma
Uncorrected formation energy   -1.392 eV per atom
Density   5.17 g cm⁻³



(6)
Compound: BaFeSe2
Source: Alexandria
Functional: PBE
Structure: optimized geometry

a b c (Å): 4.072 4.072 7.175
angles (deg): 90.00 90.00 90.00
Sites, in units of the cell vectors:
Ba1 0.000 0.000 0.000
Fe1 0.500 0.500 0.503
Se1 0.000 0.000 0.447
Se2 0.500 0.500 0.837

Properties
Symmetry   P4mm
ΔE to the lowest computed polymorph   0.2646 eV/atom
Uncorrected formation energy   -0.617 eV per atom
Density   4.90 g cm⁻³



(7)
Compound: Ba3FeSe
Source: Alexandria
Functional: PBE
Structure: optimized geometry

a b c (Å): 5.645 5.645 5.645
angles (deg): 90.00 90.00 90.00
Sites, in units of the cell vectors:
Ba1 0.000 0.000 0.500
Ba2 0.000 0.500 0.000
Ba3 0.500 0.000 0.000
Fe1 0.000 0.000 0.000
Se1 0.500 0.500 0.500

Properties
Symmetry   Pm-3m
ΔE to the lowest computed polymorph   0.0000 eV/atom
Uncorrected formation energy   -0.135 eV per atom
Density   5.05 g cm⁻³



(8)
Compound: BaFe2Se2
Source: Alexandria
Functional: PBE
Structure: optimized geometry

a b c (Å): 5.713 5.713 5.713
angles (deg): 129.15 129.15 74.78
Sites, in units of the cell vectors:
Ba1 0.000 0.000 0.000
Fe1 0.371 0.371 0.000
Fe2 0.629 0.629 0.000
Se1 0.250 0.750 0.500
Se2 0.750 0.250 0.500

Properties
Symmetry   I4/mmm
Uncorrected formation energy   -0.408 eV per atom
Density   6.19 g cm⁻³



(9)
Compound: BaFeSe2
Source: Alexandria
Functional: PBE
Structure: optimized geometry

a b c (Å): 6.409 6.409 6.409
angles (deg): 109.28 109.28 109.85
Sites, in units of the cell vectors:
Ba1 0.000 0.000 0.000
Ba2 0.750 0.250 0.500
Fe1 0.250 0.750 0.500
Fe2 0.500 0.500 0.000
Se1 0.237 0.625 0.112
Se2 0.375 0.487 0.612
Se3 0.513 0.125 0.888
Se4 0.875 0.763 0.388

Properties
Symmetry   I-42d
ΔE to the lowest computed polymorph   0.0170 eV/atom
Uncorrected formation energy   -0.865 eV per atom
Density   5.76 g cm⁻³



(10)
Compound: BaFeSe
Source: Alexandria
Functional: PBE
Structure: optimized geometry

a b c (Å): 4.262 4.262 4.820
angles (deg): 90.00 90.00 120.00
Sites, in units of the cell vectors:
Ba1 0.000 0.000 0.000
Fe1 0.667 0.333 0.500
Se1 0.333 0.667 0.500

Properties
Symmetry   P-6m2
ΔE to the lowest computed polymorph   0.0000 eV/atom
Uncorrected formation energy   -0.528 eV per atom
Density   5.96 g cm⁻³



(11)
Compound: Ba4FeSe
Source: Alexandria
Functional: PBE
Structure: optimized geometry

a b c (Å): 7.110 7.110 7.110
angles (deg): 60.00 60.00 60.00
Sites, in units of the cell vectors:
Ba1 0.376 0.376 0.376
Ba2 0.376 0.376 0.873
Ba3 0.376 0.873 0.376
Ba4 0.873 0.376 0.376
Fe1 0.000 0.000 0.000
Se1 0.750 0.750 0.750

Properties
Symmetry   F-43m
Uncorrected formation energy   0.595 eV per atom
Density   4.47 g cm⁻³



(12)
Compound: BaFeSe2
Source: Alexandria
Functional: PBE
Structure: optimized geometry

a b c (Å): 5.829 5.829 6.464
angles (deg): 101.73 101.73 37.70
Sites, in units of the cell vectors:
Ba1 0.000 0.000 0.000
Fe1 0.123 0.123 0.581
Se1 0.510 0.510 0.400
Se2 0.703 0.703 0.818

Properties
Symmetry   Cm
ΔE to the lowest computed polymorph   0.1812 eV/atom
Uncorrected formation energy   -0.701 eV per atom
Density   4.44 g cm⁻³



(13)
Compound: BaFeSe
Source: Alexandria
Functional: PBE
Structure: optimized geometry

a b c (Å): 5.346 5.346 5.346
angles (deg): 60.00 60.00 60.00
Sites, in units of the cell vectors:
Ba1 0.000 0.000 0.000
Fe1 0.750 0.750 0.750
Se1 0.250 0.250 0.250

Properties
Symmetry   F-43m
ΔE to the lowest computed polymorph   0.8556 eV/atom
Uncorrected formation energy   0.328 eV per atom
Density   4.18 g cm⁻³



(14)
Compound: BaFe3Se
Source: Alexandria
Functional: PBE
Structure: optimized geometry

a b c (Å): 4.933 4.933 4.933
angles (deg): 90.00 90.00 90.00
Sites, in units of the cell vectors:
Ba1 0.000 0.000 0.000
Fe1 0.000 0.000 0.500
Fe2 0.000 0.500 0.000
Fe3 0.500 0.000 0.000
Se1 0.500 0.500 0.500

Properties
Symmetry   Pm-3m
ΔE to the lowest computed polymorph   1.6863 eV/atom
Uncorrected formation energy   2.206 eV per atom
Density   5.31 g cm⁻³



(15)
Compound: BaFe3Se
Source: Alexandria
Functional: PBE
Structure: optimized geometry

a b c (Å): 4.648 4.648 4.648
angles (deg): 90.00 90.00 90.00
Sites, in units of the cell vectors:
Ba1 0.000 0.000 0.000
Fe1 0.000 0.500 0.500
Fe2 0.500 0.000 0.500
Fe3 0.500 0.500 0.000
Se1 0.500 0.500 0.500

Properties
Symmetry   Pm-3m
ΔE to the lowest computed polymorph   0.0000 eV/atom
Uncorrected formation energy   0.520 eV per atom
Density   6.35 g cm⁻³